Version P
Density functional theory data (PBE) for an optimized crystal structure of MnCoCl3.

Cell: 4.605 4.605 4.605 Å, 90.00 90.00 90.00°
Space group Pm-3m (No. 221)
One atom of each set of equivalent atoms:
Mn 0.000 0.000 0.000 x1
Co 0.500 0.500 0.500 x1
Cl 0.000 0.500 0.500 x3


Version Q
Density functional theory data (PBE) for an optimized crystal structure of MnCoCl3.

Cell: 4.927 4.927 4.927 Å, 90.00 90.00 90.00°
Space group Pm-3m (No. 221)
One atom of each set of equivalent atoms:
Mn 0.000 0.000 0.000 x1
Co 0.500 0.500 0.500 x1
Cl 0.000 0.000 0.500 x3


Name the least stable of them. version Q.


Version P
Density functional theory data (PBE) for an optimized crystal structure of MnCoP2Cl.

Cell: 4.265 4.265 5.027 Å, 90.00 90.00 90.00°
Space group P4/mmm (No. 123)
One atom of each set of equivalent atoms:
Mn 0.000 0.000 0.000 x1
Co 0.500 0.500 0.500 x1
P 0.000 0.500 0.000 x2
Cl 0.000 0.000 0.500 x1


Version Q
Density functional theory data (PBE) for an optimized crystal structure of MnCoP2Cl.

Cell: 4.249 4.249 4.749 Å, 90.00 90.00 90.00°
Space group P4/mmm (No. 123)
One atom of each set of equivalent atoms:
Mn 0.000 0.000 0.000 x1
Co 0.500 0.500 0.500 x1
P 0.000 0.500 0.500 x2
Cl 0.500 0.500 0.000 x1


Name the least stable of them. version Q.